(1)
A plane-wave DFT calculation with PBE-GGA was carried out for an optimized crystal structure of La2NiPC.

DFT total energy	-6.692	eV per atom
formation energy from the elements	-0.638	eV per atom
density of states at the Fermi level	2.22	states/eV per cell
M_tot	0.0	μB/f.u.

Cell: 5.259 5.259 3.683 Å, 90.00 90.00 90.00°
Fractional coordinates of all 5 atoms:
La 0.000 0.500 0.000
La 0.500 0.000 0.000
Ni 0.000 0.000 0.500
P 0.500 0.500 0.500
C 0.000 0.000 0.000

(2)
A plane-wave DFT calculation with PBE-GGA was carried out for an optimized crystal structure of La2NiPbC.

DFT total energy	-6.009	eV per atom
formation energy from the elements	-0.295	eV per atom
density of states at the Fermi level	5.44	states/eV per cell
M_tot	0.0	μB/f.u.

Cell: 5.598 5.598 3.700 Å, 90.00 90.00 90.00°
Fractional coordinates of all 5 atoms:
La 0.000 0.500 0.000
La 0.500 0.000 0.000
Ni 0.000 0.000 0.500
Pb 0.500 0.500 0.500
C 0.000 0.000 0.000

(3)
A plane-wave DFT calculation with PBE-GGA was carried out for an optimized crystal structure of La2NiPdC.

DFT total energy	-6.463	eV per atom
formation energy from the elements	-0.452	eV per atom
density of states at the Fermi level	2.45	states/eV per cell
M_tot	0.0	μB/f.u.

Cell: 5.319 5.319 3.654 Å, 90.00 90.00 90.00°
Fractional coordinates of all 5 atoms:
La 0.000 0.500 0.000
La 0.500 0.000 0.000
Ni 0.000 0.000 0.500
Pd 0.500 0.500 0.500
C 0.000 0.000 0.000

(4)
A plane-wave DFT calculation with PBE-GGA was carried out for an optimized crystal structure of La2ReNiC.

DFT total energy	-6.919	eV per atom
formation energy from the elements	0.543	eV per atom
density of states at the Fermi level	3.56	states/eV per cell
M_tot	0.0	μB/f.u.

Cell: 5.497 5.497 3.976 Å, 90.00 90.00 90.00°
Fractional coordinates of all 5 atoms:
La 0.000 0.500 0.000
La 0.500 0.000 0.000
Re 0.000 0.000 0.000
Ni 0.500 0.500 0.500
C 0.000 0.000 0.500

(5)
A plane-wave DFT calculation with PBE-GGA was carried out for an optimized crystal structure of La2ReNiC.

DFT total energy	-6.100	eV per atom
formation energy from the elements	1.362	eV per atom
density of states at the Fermi level	5.48	states/eV per cell
M_tot	0.0	μB/f.u.

Cell: 5.358 5.358 4.364 Å, 90.00 90.00 90.00°
Fractional coordinates of all 5 atoms:
La 0.000 0.500 0.000
La 0.500 0.000 0.000
Re 0.000 0.000 0.500
Ni 0.000 0.000 0.000
C 0.500 0.500 0.500

(6)
A plane-wave DFT calculation with PBE-GGA was carried out for an optimized crystal structure of LaNi2RhC.

DFT total energy	-4.184	eV per atom
formation energy from the elements	2.429	eV per atom
density of states at the Fermi level	4.17	states/eV per cell
M_tot	1.6	μB/f.u.

Cell: 4.675 4.675 4.847 Å, 90.00 90.00 90.00°
Fractional coordinates of all 5 atoms:
La 0.000 0.000 0.000
Ni 0.000 0.500 0.000
Ni 0.500 0.000 0.000
Rh 0.000 0.000 0.500
C 0.500 0.500 0.500

(7)
A plane-wave DFT calculation with PBE-GGA was carried out for an optimized crystal structure of LaNiRhC2.

DFT total energy	-6.428	eV per atom
formation energy from the elements	0.874	eV per atom
density of states at the Fermi level	0.90	states/eV per cell
M_tot	0.0	μB/f.u.

Cell: 3.830 3.830 5.029 Å, 90.00 90.00 90.00°
Fractional coordinates of all 5 atoms:
La 0.000 0.000 0.000
Ni 0.500 0.500 0.500
Rh 0.500 0.500 0.000
C 0.000 0.500 0.500
C 0.500 0.000 0.500

(8)
A plane-wave DFT calculation with PBE-GGA was carried out for an optimized crystal structure of LaNiRh2C.

DFT total energy	-7.156	eV per atom
formation energy from the elements	-0.229	eV per atom
density of states at the Fermi level	3.66	states/eV per cell
M_tot	0.0	μB/f.u.

Cell: 4.256 4.256 4.121 Å, 90.00 90.00 90.00°
Fractional coordinates of all 5 atoms:
La 0.000 0.000 0.000
Ni 0.500 0.500 0.000
Rh 0.000 0.500 0.500
Rh 0.500 0.000 0.500
C 0.500 0.500 0.500

(9)
A plane-wave DFT calculation with PBE-GGA was carried out for an optimized crystal structure of LaNi2RuC.

DFT total energy	-7.034	eV per atom
formation energy from the elements	-0.036	eV per atom
density of states at the Fermi level	3.63	states/eV per cell
M_tot	0.0	μB/f.u.

Cell: 4.108 4.108 4.168 Å, 90.00 90.00 90.00°
Fractional coordinates of all 5 atoms:
La 0.000 0.000 0.000
Ni 0.000 0.500 0.500
Ni 0.500 0.000 0.500
Ru 0.500 0.500 0.000
C 0.500 0.500 0.500

(10)
A plane-wave DFT calculation with PBE-GGA was carried out for an optimized crystal structure of La2NiSbC.

DFT total energy	-6.349	eV per atom
formation energy without anion corrections	-0.55	eV/atom
density of states at the Fermi level	2.91	states/eV per cell
M_tot	0.0	μB/f.u.

Cell: 5.467 5.467 3.764 Å, 90.00 90.00 90.00°
Fractional coordinates of all 5 atoms:
La 0.000 0.500 0.000
La 0.500 0.000 0.000
Ni 0.000 0.000 0.500
Sb 0.500 0.500 0.500
C 0.000 0.000 0.000

(11)
A plane-wave DFT calculation with PBE-GGA was carried out for an optimized crystal structure of La2SiNiC.

DFT total energy	-6.373	eV per atom
formation energy without anion corrections	-0.32	eV/atom
density of states at the Fermi level	5.26	states/eV per cell
M_tot	0.0	μB/f.u.

Cell: 5.383 5.383 3.634 Å, 90.00 90.00 90.00°
Fractional coordinates of all 5 atoms:
La 0.000 0.500 0.000
La 0.500 0.000 0.000
Si 0.000 0.000 0.500
Ni 0.500 0.500 0.500
C 0.500 0.500 0.000

(12)
A plane-wave DFT calculation with PBE-GGA was carried out for an optimized crystal structure of LaSiNi2C.

DFT total energy	-3.634	eV per atom
formation energy without anion corrections	2.59	eV/atom
density of states at the Fermi level	3.86	states/eV per cell
M_tot	0.6	μB/f.u.

Cell: 4.632 4.632 5.564 Å, 90.00 90.00 90.00°
Fractional coordinates of all 5 atoms:
La 0.000 0.000 0.000
Si 0.000 0.000 0.500
Ni 0.000 0.500 0.000
Ni 0.500 0.000 0.000
C 0.500 0.500 0.500

Question: Which of these has the lowest DFT total energy?
Answer: LaNiRh2C

Question: Which of these has the lowest DFT total energy?
Answer: LaNiRh2C